VASP calculation (GGA+U) on AgMo2O after structural relaxation.

Computed properties:
Raw total energy   -5.0002 eV/atom
Symmetry   I-42d (122)
Theoretical density   5.4 g cm⁻³

abc: 5.718 5.718 7.147
angles: 66.42 66.42 90.00
Site moments in Bohr magnetons follow the coordinates.
Element x y z (fractional)
Mo 0.476 0.125 0.250  3.53
Mo 0.274 0.625 0.250  3.52
Mo 0.375 0.524 0.750  3.54
Mo 0.875 0.726 0.750  3.53
O 0.500 0.500 0.000  0.00
O 0.250 0.750 0.500  0.00
Ag 0.000 0.000 0.000  0.04
Ag 0.750 0.250 0.500  0.04